Below is a relaxed RbCrCu crystal, with properties calculated at the PBE level.

Values from the calculation:
* E_form: 1.17 eV per atom

Cell lengths 5.7254, 5.7254, 10.1223 Å; angles 90.00, 90.00, 120.00 degrees
With the nearest neighbours (Å) after each atom.
Fractional positions:
Rb1 0.6667 0.3333 0.7500  3 Cu 3.31
Cr1 0.0000 0.0000 0.0000  2 Cu 2.53
Cu1 0.0000 0.0000 0.2500  2 Cr 2.53
Rb2 0.3333 0.6667 0.2500  3 Cu 3.31
Cr2 0.0000 0.0000 0.5000  2 Cu 2.53
Cu2 0.0000 0.0000 0.7500  2 Cr 2.53